# 1
A plane-wave DFT calculation with GGA-PBE was carried out for Mg3CoCl after structural relaxation.

Cell: 4.915 4.915 4.915 Å, 90.00 90.00 90.00°
Space group Pm-3m (No. 221)
Symmetry-distinct sites (fractional):
Mg (0.000, 0.000, 0.500) x3
Co (0.000, 0.000, 0.000) x1
Cl (0.500, 0.500, 0.500) x1

## Properties
As for the uncorrected formation energy: 15.0 kJ/mol of atoms.

# 2
A plane-wave DFT calculation with GGA-PBE was carried out for SmPuNiN3 after structural relaxation.

Cell: 7.025 3.401 7.207 Å, 90.00 99.91 90.00°
Space group P2_1/m (No. 11)
Symmetry-distinct sites (fractional):
Sm (0.172, 0.250, 0.208) x2
Pu (0.340, 0.750, 0.825) x2
Ni (0.098, 0.250, 0.578) x2
N (0.128, 0.250, 0.862) x2
N (0.189, 0.750, 0.493) x2
N (0.427, 0.750, 0.140) x2

## Properties
As for the uncorrected formation energy: -80.4 kJ/mol of atoms.

# 3
A plane-wave DFT calculation with GGA-PBE was carried out for MoIr2 after structural relaxation.

Cell: 3.944 3.944 3.401 Å, 90.00 90.00 90.00°
Space group P4/mmm (No. 123)
Symmetry-distinct sites (fractional):
Mo (0.000, 0.000, 0.000) x1
Ir (0.000, 0.500, 0.500) x2

## Properties
As for the formation energy: 0.5516 eV per atom.

# 4
A plane-wave DFT calculation with GGA-PBE was carried out for ZrBi after structural relaxation.

Cell: 6.073 8.233 9.420 Å, 90.00 90.00 90.00°
Space group P2_12_12_1 (No. 19)
Symmetry-distinct sites (fractional):
Zr (0.055, 0.182, 0.115) x4
Zr (0.246, 0.997, 0.370) x4
Bi (0.003, 0.816, 0.092) x4
Bi (0.054, 0.375, 0.851) x4

## Properties
As for the formation energy: -0.0831 eV per atom.

# 5
A plane-wave DFT calculation with GGA-PBE was carried out for SrAsRu2 after structural relaxation.

Cell: 3.758 4.156 5.687 Å, 90.00 98.09 90.00°
Space group Pm (No. 6)
Symmetry-distinct sites (fractional):
Sr (0.000, 0.000, 0.000) x1
As (0.577, 0.500, 0.283) x1
Ru (0.122, 0.500, 0.553) x1
Ru (0.470, 0.000, 0.524) x1

## Properties
As for the formation energy: 0.0010 eV per atom.

# 6
A plane-wave DFT calculation with GGA-PBE was carried out for ZnWCl after structural relaxation.

Cell: 2.873 5.195 16.572 Å, 90.00 90.00 90.00°
Space group Fmm2 (No. 42)
Symmetry-distinct sites (fractional):
Zn (0.000, 0.000, 0.000) x4
W (0.000, 0.000, 0.362) x4
Cl (0.000, 0.000, 0.743) x4

## Properties
As for the uncorrected formation energy: 38.6 kJ/mol of atoms.

# 7
A plane-wave DFT calculation with GGA-PBE was carried out for MgSbPb2 after structural relaxation.

Cell: 3.434 4.774 6.957 Å, 90.00 90.00 90.00°
Space group Pmmm (No. 47)
Symmetry-distinct sites (fractional):
Mg (0.000, 0.000, 0.000) x1
Sb (0.000, 0.000, 0.500) x1
Pb (0.500, 0.500, 0.241) x2

## Properties
As for the uncorrected formation energy: 4.7 kJ/mol of atoms.

# 8
A plane-wave DFT calculation with GGA-PBE was carried out for RbZrTa2 after structural relaxation.

Cell: 7.159 7.159 7.159 Å, 90.00 90.00 90.00°
Space group Fm-3m (No. 225)
Symmetry-distinct sites (fractional):
Rb (0.000, 0.000, 0.000) x4
Zr (0.000, 0.000, 0.500) x4
Ta (0.250, 0.250, 0.250) x8

## Properties
As for the formation energy: 1.7030 eV per atom.

# 9
A plane-wave DFT calculation with GGA-PBE was carried out for NaLaHg after structural relaxation.

Cell: 3.647 3.647 28.889 Å, 90.00 90.00 90.00°
Space group I4/mmm (No. 139)
Symmetry-distinct sites (fractional):
Na (0.000, 0.000, 0.202) x4
La (0.000, 0.000, 0.066) x4
Hg (0.000, 0.000, 0.365) x4

## Properties
As for the formation energy: -0.1439 eV per atom.

# 10
A plane-wave DFT calculation with GGA-PBE was carried out for HoGeB after structural relaxation.

Cell: 3.6211 3.6211 4.2055 Å, 90.00 90.00 120.00°
Space group P3m1 (No. 156)
Symmetry-distinct sites (fractional):
Ho (0.0000, 0.0000, 0.0000) x1
Ge (0.6667, 0.3333, 0.5157) x1
B (0.3333, 0.6667, 0.4161) x1

## Properties
As for the formation energy: -0.4763 eV per atom.

# 11
A plane-wave DFT calculation with GGA-PBE was carried out for LiAc2Zn6Ag after structural relaxation.

Cell: 6.816 6.816 9.618 Å, 90.00 90.00 90.00°
Space group I4/mmm (No. 139)
Symmetry-distinct sites (fractional):
Li (0.000, 0.000, 0.000) x2
Ac (0.000, 0.500, 0.250) x4
Zn (0.000, 0.000, 0.238) x4
Zn (0.238, 0.238, 0.000) x8
Ag (0.000, 0.000, 0.500) x2

## Properties
As for the formation energy: -0.0827 eV per atom.

no.,electronic total energy (eV/atom)
1,-2.592
2,-9.134
3,-8.966
4,-6.298
5,-6.220
6,-4.958
7,-3.234
8,-6.602
9,-2.327
10,-5.767
11,-2.145